[1]
The following is a PBE calculation of crystalline Pm3NdNi at its relaxed geometry, from the Alexandria database.

Output
Magnetic moment ... 0.00 Bohr magnetons per cell
DOS(E_F) ... 13.3 states/eV per cell
Space-group type ... No. 8
Formation energy ... -58.4 kJ/mol of formula units

a b c (Å): 6.3551 6.3551 14.0779
angles (deg): 111.98 111.98 34.43
Last column: nearest neighbours and their distance in Å.
Positions (direct):
1 Pm 0.0000 0.0000 0.0000  10 Pm 3.59-3.86, 1 Ni 3.60, 2 Nd 3.68
2 Pm 0.0021 0.0021 0.3741  2 Ni 2.91
3 Pm 0.3428 0.3428 0.7598  2 Ni 2.93
4 Pm 0.3453 0.3453 0.1322  3 Nd 3.58-3.61, 1 Ni 3.62, 9 Pm 3.64-3.86
5 Pm 0.5580 0.5580 0.6179  2 Ni 2.82
6 Pm 0.6787 0.6787 0.8939  2 Ni 2.83
7 Nd 0.6662 0.6662 0.2382  2 Ni 2.86
8 Nd 0.7876 0.7876 0.5168  2 Ni 2.83
9 Ni 0.0250 0.0250 0.7536  6 Pm 2.82-2.93
10 Ni 0.3219 0.3219 0.3807  4 Nd 2.83-2.86, 2 Pm 2.91


[2]
The following is a PBE calculation of crystalline Pm3Nd3Ni4 at its relaxed geometry, from the Alexandria database.

Output
Magnetic moment ... 0.00 Bohr magnetons per cell
DOS(E_F) ... 8.7 states/eV per cell
Space-group type ... No. 38
Formation energy ... -213.6 kJ/mol of formula units

a b c (Å): 3.9063 7.7978 7.7978
angles (deg): 90.01 90.00 90.00
Last column: nearest neighbours and their distance in Å.
Positions (direct):
1 Pm 0.0000 0.0000 0.0000  6 Ni 2.97-3.08
2 Pm 0.0000 0.5025 0.8330  6 Ni 2.96-3.09
3 Pm 0.0000 0.8330 0.5025  6 Ni 2.96-3.09
4 Nd 0.0000 0.3310 0.3310  6 Ni 2.98-3.11
5 Nd 0.5000 0.1683 0.6674  4 Ni 3.09-3.14
6 Nd 0.5000 0.6674 0.1683  4 Ni 3.09-3.14
7 Ni 0.5000 0.0470 0.2828  1 Ni 2.60
8 Ni 0.5000 0.2828 0.0470  1 Ni 2.60
9 Ni 0.5000 0.5504 0.5504  1 Ni 2.58
10 Ni 0.5000 0.7843 0.7843  1 Ni 2.58


[3]
The following is a PBE calculation of crystalline Pm2NdNi at its relaxed geometry, from the Alexandria database.

Output
Magnetic moment ... 0.00 Bohr magnetons per cell
DOS(E_F) ... 22.6 states/eV per cell
Space-group type ... No. 63
Formation energy ... -61.5 kJ/mol of formula units

a b c (Å): 3.7719 12.1212 9.9043
angles (deg): 90.00 90.00 90.00
Last column: nearest neighbours and their distance in Å.
Positions (direct):
1 Pm 0.0000 0.1378 0.0689  2 Ni 2.83
2 Pm 0.0000 0.1378 0.4311  2 Ni 2.83
3 Pm 0.0000 0.8622 0.5689  2 Ni 2.83
4 Pm 0.0000 0.8622 0.9311  2 Ni 2.83
5 Pm 0.5000 0.3622 0.5689  2 Ni 2.83
6 Pm 0.5000 0.3622 0.9311  2 Ni 2.83
7 Pm 0.5000 0.6378 0.0689  2 Ni 2.83
8 Pm 0.5000 0.6378 0.4311  2 Ni 2.83
9 Nd 0.0000 0.4152 0.2500  2 Ni 2.93
10 Nd 0.0000 0.5848 0.7500  2 Ni 2.93
11 Nd 0.5000 0.0848 0.7500  2 Ni 2.93
12 Nd 0.5000 0.9152 0.2500  2 Ni 2.93
13 Ni 0.0000 0.2703 0.7500  4 Pm 2.83, 2 Nd 2.93
14 Ni 0.0000 0.7297 0.2500  4 Pm 2.83, 2 Nd 2.93
15 Ni 0.5000 0.2297 0.2500  4 Pm 2.83, 2 Nd 2.93
16 Ni 0.5000 0.7703 0.7500  4 Pm 2.83, 2 Nd 2.93


[4]
The following is a PBE calculation of crystalline Pm4Nd3Ni4 at its relaxed geometry, from the Alexandria database.

Output
Magnetic moment ... 0.00 Bohr magnetons per cell
DOS(E_F) ... 12.2 states/eV per cell
Space-group type ... No. 71
Formation energy ... -166.2 kJ/mol of formula units

a b c (Å): 8.8177 8.8177 8.8177
angles (deg): 148.67 129.56 60.58
Last column: nearest neighbours and their distance in Å.
Positions (direct):
1 Pm 0.0517 0.8316 0.2201  4 Ni 2.71-2.95
2 Pm 0.3885 0.1684 0.2201  4 Ni 2.71-2.95
3 Pm 0.6115 0.8316 0.7799  4 Ni 2.71-2.95
4 Pm 0.9483 0.1684 0.7799  4 Ni 2.71-2.95
5 Nd 0.0000 0.5000 0.5000  2 Ni 3.09
6 Nd 0.3987 0.3987 0.0000  4 Ni 3.09, 1 Nd 3.09, 4 Pm 3.34
7 Nd 0.6013 0.6013 0.0000  4 Ni 3.09, 1 Nd 3.09, 4 Pm 3.34
8 Ni 0.2032 0.7032 0.5000  6 Pm 2.87-2.95, 1 Nd 3.09
9 Ni 0.3385 0.0000 0.3385  1 Ni 2.43, 2 Pm 2.71
10 Ni 0.6615 0.0000 0.6615  1 Ni 2.43, 2 Pm 2.71
11 Ni 0.7968 0.2968 0.5000  6 Pm 2.87-2.95, 1 Nd 3.09